Entry 1:
# PmNpOsPd, relaxed, DFT PBE
# - E_form: -0.10 eV/atom
data_PmNpOsPd
_cell_length_a 6.9640
_cell_length_b 6.9640
_cell_length_c 6.9640
_cell_angle_alpha 90.00
_cell_angle_beta 90.00
_cell_angle_gamma 90.00
_space_group_name_H-M_alt 'F -4 3 m'
_space_group_IT_number 216
_space_group_name_Hall 'F -4 2 3'
loop_
_atom_site_label
_atom_site_type_symbol
_atom_site_fract_x
_atom_site_fract_y
_atom_site_fract_z
Pm1 Pm 0.0000 0.0000 0.0000
Np1 Np 0.0000 0.0000 0.5000
Os1 Os 0.2500 0.2500 0.7500
Pd1 Pd 0.2500 0.2500 0.2500

=====

Entry 2:
# VCdGa2, relaxed, DFT PBE
# - E_form: 0.09 eV/atom
data_VCdGa2
_cell_length_a 4.1420
_cell_length_b 4.1420
_cell_length_c 3.8466
_cell_angle_alpha 90.00
_cell_angle_beta 90.00
_cell_angle_gamma 90.00
_space_group_name_H-M_alt 'P 4/m m m'
_space_group_IT_number 123
_space_group_name_Hall '-P 4 2'
loop_
_atom_site_label
_atom_site_type_symbol
_atom_site_fract_x
_atom_site_fract_y
_atom_site_fract_z
V1 V 0.0000 0.0000 0.0000
Cd1 Cd 0.5000 0.5000 0.0000
Ga1 Ga 0.0000 0.5000 0.5000

=====

Entry 3:
Here is K3TcF after structural relaxation from Alexandria. Energies are from PBE.

Cell and atoms, written as CIF:
```
data_K3TcF
_cell_length_a 5.4222
_cell_length_b 5.4222
_cell_length_c 5.4222
_cell_angle_alpha 90.00
_cell_angle_beta 90.00
_cell_angle_gamma 90.00
_space_group_name_H-M_alt 'P m -3 m'
_space_group_IT_number 221
_space_group_name_Hall '-P 4 2 3'
loop_
_atom_site_label
_atom_site_type_symbol
_atom_site_fract_x
_atom_site_fract_y
_atom_site_fract_z
K1 K 0.0000 0.0000 0.5000
Tc1 Tc 0.5000 0.5000 0.5000
F1 F 0.0000 0.0000 0.0000
```

=====

Entry 4:
Here is TiIn3I after structural relaxation from Alexandria. Energies are from PBE.

Cell and atoms, written as CIF:
```
data_TiIn3I
_cell_length_a 5.9653
_cell_length_b 5.9653
_cell_length_c 5.9653
_cell_angle_alpha 90.00
_cell_angle_beta 90.00
_cell_angle_gamma 90.00
_space_group_name_H-M_alt 'P m -3 m'
_space_group_IT_number 221
_space_group_name_Hall '-P 4 2 3'
loop_
_atom_site_label
_atom_site_type_symbol
_atom_site_fract_x
_atom_site_fract_y
_atom_site_fract_z
Ti1 Ti 0.0000 0.0000 0.0000
In1 In 0.0000 0.5000 0.5000
I1 I 0.5000 0.5000 0.5000
```

=====

Entry 5:
Here is AlAgTe4Pb2 after structural relaxation from Alexandria. Energies are from PBE.

Cell and atoms, written as CIF:
```
data_AlAgTe4Pb2
_cell_length_a 8.9539
_cell_length_b 11.1551
_cell_length_c 7.0716
_cell_angle_alpha 90.00
_cell_angle_beta 127.21
_cell_angle_gamma 90.00
_space_group_name_H-M_alt 'C 1 2 1'
_space_group_IT_number 5
loop_
_space_group_symop_operation_xyz
'x,y,z'
'-x,y,-z'
'x+1/2,y+1/2,z'
'-x+1/2,y+1/2,-z'
loop_
_atom_site_label
_atom_site_type_symbol
_atom_site_fract_x
_atom_site_fract_y
_atom_site_fract_z
Al1 Al 0.0000 0.0000 0.0000
Ag1 Ag 0.0000 0.2473 0.5000
Te1 Te 0.2173 0.1357 0.9509
Te2 Te 0.2173 0.8958 0.4274
Pb1 Pb 0.0000 0.4510 0.0000
Pb2 Pb 0.0000 0.7113 0.5000
```

=====

Entry 6:
Here is DyY2ScSb4 after structural relaxation from Alexandria. Energies are from PBE.

Cell and atoms, written as CIF:
```
data_DyY2ScSb4
_cell_length_a 7.5088
_cell_length_b 4.3391
_cell_length_c 7.5103
_cell_angle_alpha 90.00
_cell_angle_beta 109.48
_cell_angle_gamma 90.00
_space_group_name_H-M_alt 'P 1 2/m 1'
_space_group_IT_number 10
loop_
_space_group_symop_operation_xyz
'x,y,z'
'-x,-y,-z'
'-x,y,-z'
'x,-y,z'
loop_
_atom_site_label
_atom_site_type_symbol
_atom_site_fract_x
_atom_site_fract_y
_atom_site_fract_z
Dy1 Dy 0.0000 0.0000 0.0000
Y1 Y 0.0000 0.5000 0.5000
Y2 Y 0.5000 0.0000 0.5000
Sc1 Sc 0.5000 0.5000 0.0000
Sb1 Sb 0.2547 0.5000 0.2446
Sb2 Sb 0.2600 0.0000 0.7603
```

=====

Number 1: E_tot -8.6313 eV per atom. Number 2: E_tot -3.9298 eV per atom. Number 3: E_tot -3.2489 eV per atom. Number 4: E_tot -2.3332 eV per atom. Number 5: E_tot -3.6065 eV per atom. Number 6: E_tot -6.1325 eV per atom.